Entry from Alexandria: crystalline AgP3 at its relaxed geometry (PBE).

The structure in extended XYZ format:
```
4
Lattice="5.1907 -1.6956 0.0000 5.1907 1.6956 0.0000 -1.1140 0.0000 4.2568" Properties=species:S:1:pos:R:3 pbc="T T T"
Ag 0.0000 0.0000 0.0000
P 1.2448 0.0000 2.2247
P 4.6337 0.0000 2.1284
P 8.0226 0.0000 2.0321
```

Values from the calculation:
Formation energy, meV/atom: 380
Raw total energy, Ry per atom: -0.32268